No. 1
A geometry-optimized Pm3Dy3Y structure, computed with GGA-PBE.

Geometry as POSCAR:
```
Pm3Dy3Y
1.0
-2.695 -4.806 -6.230
3.258 -2.978 4.589
-4.509 3.066 3.287
Dy Pm Y
3 3 1
Direct
0.015 0.598 0.598 Dy
0.416 0.402 0.000 Dy
0.416 0.000 0.402 Dy
0.975 0.358 0.000 Pm
0.616 0.642 0.642 Pm
0.975 0.000 0.358 Pm
0.562 0.000 0.000 Y
```

Computed properties:
* calculated volume: 33.80 Å³ per atom
* formation energy: 0.25 eV/atom
* crystal system: trigonal
* uncorrected energy: -4.683 eV/atom

***

No. 2
A geometry-optimized Pm5Dy3Y structure, computed with GGA-PBE.

Geometry as POSCAR:
```
Pm5Dy3Y
1.0
-8.736 0.962 -3.884
1.200 -1.753 -9.371
-5.775 -7.874 -6.561
Pm Dy Y
10 6 2
Direct
0.746 0.254 0.000 Pm
0.254 0.746 0.000 Pm
0.342 0.847 0.259 Pm
0.822 0.822 0.953 Pm
0.658 0.153 0.741 Pm
0.153 0.658 0.741 Pm
0.494 0.494 0.234 Pm
0.178 0.178 0.047 Pm
0.506 0.506 0.766 Pm
0.847 0.342 0.259 Pm
0.684 0.684 0.824 Dy
0.338 0.338 0.647 Dy
0.662 0.662 0.353 Dy
0.000 0.000 0.000 Dy
0.000 0.000 0.500 Dy
0.316 0.316 0.176 Dy
0.157 0.157 0.592 Y
0.843 0.843 0.408 Y
```

Computed properties:
* calculated volume: 37.77 Å³ per atom
* formation energy: 0.49 eV/atom
* crystal system: monoclinic
* uncorrected energy: -4.403 eV/atom

***

No. 3
A geometry-optimized Pm4Dy5Y4 structure, computed with GGA-PBE.

Geometry as POSCAR:
```
Pm4Dy5Y4
1.0
4.899 0.000 1.246
2.450 9.152 0.623
0.195 0.000 9.492
Y Pm Dy
4 4 5
Direct
0.847 0.924 0.383 Y
0.771 0.383 0.076 Y
0.229 0.617 0.924 Y
0.153 0.076 0.617 Y
0.616 0.306 0.461 Pm
0.077 0.539 0.306 Pm
0.384 0.694 0.539 Pm
0.923 0.461 0.694 Pm
0.462 0.229 0.848 Dy
0.538 0.771 0.152 Dy
0.000 0.000 0.000 Dy
0.690 0.848 0.771 Dy
0.310 0.152 0.229 Dy
```

Computed properties:
* calculated volume: 32.57 Å³ per atom
* formation energy: 0.02 eV/atom
* crystal system: tetragonal
* uncorrected energy: -5.203 eV/atom

***

No. 4
A geometry-optimized PmDy4Y structure, computed with GGA-PBE.

Geometry as POSCAR:
```
PmDy4Y
1.0
3.573 0.000 0.000
0.000 14.669 -0.668
0.000 -7.448 7.676
Dy Y Pm
8 2 2
Direct
0.500 0.750 0.919 Dy
0.000 0.000 0.334 Dy
0.500 0.250 0.419 Dy
0.000 0.000 0.666 Dy
0.500 0.250 0.081 Dy
0.500 0.750 0.581 Dy
0.000 0.500 0.166 Dy
0.000 0.500 0.834 Dy
0.499 0.250 0.750 Y
0.501 0.750 0.250 Y
0.000 0.000 0.000 Pm
0.000 0.500 0.500 Pm
```

Computed properties:
* calculated volume: 32.05 Å³ per atom
* formation energy: 0.02 eV/atom
* crystal system: orthorhombic
* uncorrected energy: -4.920 eV/atom

***

No. 5
A geometry-optimized Pm4Dy3Y2 structure, computed with GGA-PBE.

Geometry as POSCAR:
```
Pm4Dy3Y2
1.0
-3.258 -1.177 0.796
-2.187 0.397 -8.367
5.039 -8.703 -0.183
Dy Pm Y
3 4 2
Direct
0.000 0.000 0.000 Dy
0.107 0.358 0.214 Dy
0.893 0.642 0.786 Dy
0.452 0.314 0.904 Pm
0.548 0.686 0.096 Pm
0.720 0.652 0.440 Pm
0.280 0.348 0.560 Pm
0.333 0.957 0.665 Y
0.667 0.043 0.335 Y
```

Computed properties:
* calculated volume: 33.45 Å³ per atom
* formation energy: 0.08 eV/atom
* crystal system: monoclinic
* uncorrected energy: -4.999 eV/atom

***

No. 6
A geometry-optimized PmDy6Y12 structure, computed with GGA-PBE.

Geometry as POSCAR:
```
PmDy6Y12
1.0
8.320 0.000 2.667
-4.143 7.769 3.382
0.035 0.000 9.431
Dy Y Pm
6 12 1
Direct
0.421 0.473 0.210 Dy
0.948 0.316 0.473 Dy
0.579 0.527 0.790 Dy
0.052 0.684 0.527 Dy
0.632 0.210 0.316 Dy
0.368 0.790 0.684 Dy
0.525 0.842 0.264 Y
0.263 0.422 0.631 Y
0.159 0.053 0.578 Y
0.106 0.369 0.053 Y
0.790 0.264 0.893 Y
0.841 0.947 0.422 Y
0.683 0.893 0.842 Y
0.210 0.736 0.107 Y
0.737 0.578 0.369 Y
0.475 0.158 0.736 Y
0.894 0.631 0.947 Y
0.317 0.107 0.158 Y
0.000 0.000 0.000 Pm
```

Computed properties:
* calculated volume: 32.05 Å³ per atom
* formation energy: 0.02 eV/atom
* crystal system: trigonal
* uncorrected energy: -5.764 eV/atom